Compound: Mn2NiAu
Source: Alexandria
Functional: PBE-GGA
Structure: relaxed

Output
space group = No. 12
magnetic moment = 8.1 μB/f.u.

Cell lengths 4.608, 4.608, 4.724 Å; angles 76.28, 76.28, 36.80 degrees
Fractional coordinates of all 4 atoms:
Au  0.250  0.250  0.250
Mn  0.010  0.010  0.984
Mn  0.490  0.490  0.516
Ni  0.750  0.750  0.750

***

Compound: NdGdScPd
Source: Alexandria
Functional: PBE-GGA
Structure: relaxed

Output
space group = No. 216
magnetic moment = 7.7 μB/f.u.

Cell lengths 5.240, 5.240, 5.240 Å; angles 60.00, 60.00, 60.00 degrees
Fractional coordinates of all 4 atoms:
Sc  0.000  0.000  0.000
Gd  0.250  0.250  0.250
Nd  0.750  0.750  0.750
Pd  0.500  0.500  0.500

***

no.,energy relative to the elements (meV/atom),total DFT energy (no corrections) (eV/atom)
1,152,-6.697
2,-143,-7.736